(i)
Material: Hg2SbTePb
Method: DFT, PBE
State: relaxed

Summary:
The calculation puts the total magnetization at 0.43 μB per formula unit. Its symmetry is P4/mmm, No. 123. The value obtained for the volume is 37.21 Å³ per atom. The value obtained for the density of states at the Fermi level is 2.37 states/eV per cell.

```
Hg2SbTePb
1.0
5.522 0.000 0.000
0.000 6.101 0.000
0.000 0.000 5.522
Hg Te Sb Pb
2 1 1 1
direct
0.000 0.000 0.500
0.500 0.000 0.000
0.000 0.500 0.000
0.000 0.000 0.000
0.500 0.500 0.500
```

=====

(ii)
Material: Hg2SbTePb
Method: DFT, PBE
State: relaxed

Summary:
The calculation puts the total magnetization at 0.39 μB per formula unit. Its symmetry is P4/mmm, No. 123. The value obtained for the volume is 38.31 Å³ per atom. The value obtained for the density of states at the Fermi level is 3.85 states/eV per cell.

```
Hg2SbTePb
1.0
5.549 0.000 0.000
0.000 6.221 0.000
0.000 0.000 5.549
Sb Hg Pb Te
1 2 1 1
direct
0.500 0.500 0.500
0.500 0.000 0.000
0.000 0.000 0.500
0.000 0.000 0.000
0.000 0.500 0.000
```

=====

Most stable = (i)

=====

(i)
Material: VHg2SbPb
Method: DFT, PBE
State: relaxed

Summary:
The calculation puts the total magnetization at 0.00 μB per formula unit. Its symmetry is P4/mmm, No. 123. The value obtained for the volume is 28.83 Å³ per atom. The value obtained for the density of states at the Fermi level is 6.03 states/eV per cell.

```
VHg2SbPb
1.0
5.210 0.000 0.000
0.000 5.311 0.000
0.000 0.000 5.210
Hg Pb Sb V
2 1 1 1
direct
0.000 0.000 0.500
0.500 0.000 0.000
0.000 0.500 0.000
0.500 0.500 0.500
0.000 0.000 0.000
```

=====

(ii)
Material: VHg2SbPb
Method: DFT, PBE
State: relaxed

Summary:
The calculation puts the total magnetization at 3.89 μB per formula unit. Its symmetry is P4/mmm, No. 123. The value obtained for the volume is 43.43 Å³ per atom. The value obtained for the density of states at the Fermi level is 6.07 states/eV per cell.

```
VHg2SbPb
1.0
-1.329 0.475 -5.528
5.653 -3.147 -1.630
-2.723 -5.008 0.224
Sb Hg V Pb
1 2 1 1
direct
0.000 0.500 0.000
0.000 0.000 0.500
0.500 0.000 0.000
0.500 0.500 0.500
0.000 0.000 0.000
```

=====

Most stable = (i)